Record 1
# KNF2 | Alexandria | PBE | relaxed
data_KNF2
_chemical_formula_sum 'K1 N1 F2'
_space_group_name_H-M_alt 'P 1'
_space_group_IT_number 1
_cell_length_a 5.1280
_cell_length_b 5.1280
_cell_length_c 5.1280
_cell_angle_alpha 43.86
_cell_angle_beta 43.86
_cell_angle_gamma 43.86
loop_
_space_group_symop_operation_xyz
'x,y,z'
loop_
_atom_site_label
_atom_site_type_symbol
_atom_site_fract_x
_atom_site_fract_y
_atom_site_fract_z
K1 K 0.0000 0.0000 0.0000
F1 F 0.7722 0.7722 0.7722
N1 N 0.5000 0.5000 0.5000
F2 F 0.2278 0.2278 0.2278
# Spin magnetization in μB per atom: 0.500
# Space group: R-3m
# Uncorrected formation energy in eV per atom: -0.1221
# Energy above the most stable polymorph in this dataset in meV/atom: 480
# Raw total energy in eV/atom: -3.41

***

Record 2
# TbZnAu | Alexandria | PBE | relaxed
data_TbZnAu
_chemical_formula_sum 'Tb1 Zn1 Au1'
_space_group_name_H-M_alt 'P 1'
_space_group_IT_number 1
_cell_length_a 3.5603
_cell_length_b 4.5463
_cell_length_c 4.5463
_cell_angle_alpha 120.00
_cell_angle_beta 90.00
_cell_angle_gamma 90.00
loop_
_space_group_symop_operation_xyz
'x,y,z'
loop_
_atom_site_label
_atom_site_type_symbol
_atom_site_fract_x
_atom_site_fract_y
_atom_site_fract_z
Zn1 Zn 0.1665 0.0000 0.0000
Tb1 Tb 0.6667 0.6667 0.3333
Au1 Au 0.1668 0.3333 0.6667
# Spin magnetization in μB per atom: 0.000
# Space group: P-6m2
# Energy relative to the elements in meV/atom: -654.9
# Raw total energy in eV/atom: -3.72

***

Record 3
# TlSn2H | Alexandria | PBE | relaxed
data_TlSn2H
_chemical_formula_sum 'Tl2 Sn4 H2'
_space_group_name_H-M_alt 'P 1'
_space_group_IT_number 1
_cell_length_a 5.8335
_cell_length_b 5.8335
_cell_length_c 7.4448
_cell_angle_alpha 66.93
_cell_angle_beta 66.93
_cell_angle_gamma 90.00
loop_
_space_group_symop_operation_xyz
'x,y,z'
loop_
_atom_site_label
_atom_site_type_symbol
_atom_site_fract_x
_atom_site_fract_y
_atom_site_fract_z
Sn1 Sn 0.4579 0.1250 0.2500
Sn2 Sn 0.2921 0.6250 0.2500
H1 H 0.2500 0.7500 0.5000
H2 H 0.5000 0.5000 0.0000
Tl1 Tl 0.0000 0.0000 0.0000
Sn3 Sn 0.8750 0.7079 0.7500
Tl2 Tl 0.7500 0.2500 0.5000
Sn4 Sn 0.3750 0.5421 0.7500
# Spin magnetization in μB per atom: 0.000
# Space group: I-42d
# Energy above the most stable polymorph in this dataset in meV/atom: 0
# Raw total energy in eV/atom: -3.10

***

Record 4
# SbTeSe | Alexandria | PBE | relaxed
data_SbTeSe
_chemical_formula_sum 'Sb1 Te1 Se1'
_space_group_name_H-M_alt 'P 1'
_space_group_IT_number 1
_cell_length_a 4.0445
_cell_length_b 4.0445
_cell_length_c 6.2662
_cell_angle_alpha 90.00
_cell_angle_beta 90.00
_cell_angle_gamma 120.00
loop_
_space_group_symop_operation_xyz
'x,y,z'
loop_
_atom_site_label
_atom_site_type_symbol
_atom_site_fract_x
_atom_site_fract_y
_atom_site_fract_z
Te1 Te 0.3333 0.6667 0.6230
Se1 Se 0.0000 0.0000 0.0549
Sb1 Sb 0.6667 0.3333 0.3221
# Spin magnetization in μB per atom: 0.000
# Space group: P3m1
# Uncorrected formation energy in eV per atom: -0.0760
# Energy above the most stable polymorph in this dataset in meV/atom: 53
# Raw total energy in eV/atom: -3.66

***

Record 5
# Ac3V5S12 | Alexandria | PBE | relaxed
data_Ac3V5S12
_chemical_formula_sum 'Ac12 V20 S48'
_space_group_name_H-M_alt 'P 1'
_space_group_IT_number 1
_cell_length_a 13.3642
_cell_length_b 13.3642
_cell_length_c 13.3642
_cell_angle_alpha 109.47
_cell_angle_beta 109.47
_cell_angle_gamma 109.47
loop_
_space_group_symop_operation_xyz
'x,y,z'
loop_
_atom_site_label
_atom_site_type_symbol
_atom_site_fract_x
_atom_site_fract_y
_atom_site_fract_z
S1 S 0.5187 0.2003 0.1128
V1 V 0.6250 0.8750 0.2500
Ac1 Ac 0.6250 0.2500 0.3750
S2 S 0.1128 0.7003 0.5187
Ac2 Ac 0.3750 0.7500 0.6250
S3 S 0.2997 0.8872 0.9813
S4 S 0.2997 0.4125 0.8184
V2 V 0.8750 0.6250 0.7500
S5 S 0.7997 0.3184 0.9125
S6 S 0.9813 0.5941 0.1816
V3 V 0.3750 0.1250 0.7500
S7 S 0.6816 0.4813 0.5941
V4 V 0.2500 0.8750 0.1250
S8 S 0.4059 0.0187 0.3184
S9 S 0.0187 0.4059 0.8184
Ac3 Ac 0.1250 0.8750 0.7500
S10 S 0.0875 0.9059 0.3872
S11 S 0.0941 0.9125 0.1128
V5 V 0.0000 0.5000 0.5000
S12 S 0.0941 0.1816 0.4813
V6 V 0.5000 0.0000 0.0000
S13 S 0.9059 0.8184 0.5187
S14 S 0.3184 0.7997 0.4125
S15 S 0.4125 0.2997 0.3184
Ac4 Ac 0.7500 0.3750 0.1250
S16 S 0.5875 0.7003 0.6816
S17 S 0.0187 0.6128 0.7003
V7 V 0.8750 0.2500 0.6250
S18 S 0.9059 0.0875 0.8872
V8 V 0.5000 0.5000 0.0000
S19 S 0.6816 0.2003 0.5875
Ac5 Ac 0.3750 0.6250 0.2500
S20 S 0.6128 0.0187 0.2003
Ac6 Ac 0.8750 0.1250 0.2500
Ac7 Ac 0.6250 0.3750 0.7500
Ac8 Ac 0.7500 0.8750 0.6250
V9 V 0.0000 0.0000 0.5000
S21 S 0.2003 0.5187 0.6128
S22 S 0.2003 0.6816 0.0875
Ac9 Ac 0.1250 0.2500 0.8750
S23 S 0.9125 0.8184 0.7997
Ac10 Ac 0.8750 0.7500 0.1250
S24 S 0.3872 0.4059 0.0875
S25 S 0.1816 0.0875 0.7003
S26 S 0.0875 0.1816 0.2003
S27 S 0.5187 0.3184 0.9059
S28 S 0.5875 0.8872 0.4059
S29 S 0.3872 0.9813 0.7997
S30 S 0.4059 0.3872 0.5875
S31 S 0.5941 0.6128 0.4125
V10 V 0.5000 0.5000 0.5000
S32 S 0.8872 0.2997 0.4813
S33 S 0.7997 0.4813 0.3872
V11 V 0.7500 0.6250 0.3750
V12 V 0.0000 0.5000 0.0000
S34 S 0.9125 0.0941 0.6128
V13 V 0.1250 0.7500 0.3750
Ac11 Ac 0.2500 0.1250 0.3750
S35 S 0.6128 0.5941 0.9125
V14 V 0.5000 0.0000 0.5000
V15 V 0.3750 0.2500 0.1250
S36 S 0.4125 0.1128 0.5941
S37 S 0.8872 0.5875 0.9059
S38 S 0.5941 0.9813 0.6816
S39 S 0.7003 0.1128 0.0187
S40 S 0.8184 0.9125 0.2997
V16 V 0.7500 0.1250 0.8750
S41 S 0.9813 0.3872 0.2997
V17 V 0.2500 0.3750 0.6250
Ac12 Ac 0.2500 0.6250 0.8750
S42 S 0.1816 0.0941 0.9813
S43 S 0.7003 0.5875 0.1816
S44 S 0.1128 0.4125 0.0941
V18 V 0.6250 0.7500 0.8750
S45 S 0.3184 0.5187 0.4059
V19 V 0.1250 0.3750 0.2500
S46 S 0.4813 0.7997 0.8872
S47 S 0.8184 0.9059 0.0187
S48 S 0.4813 0.6816 0.0941
V20 V 0.0000 0.0000 0.0000
# Spin magnetization in μB per atom: 0.500
# Space group: Ia-3d
# Uncorrected formation energy in eV per atom: -1.3122
# Raw total energy in eV/atom: -6.68

***

Record 6
# Tl2ReTe | Alexandria | PBE | relaxed
data_Tl2ReTe
_chemical_formula_sum 'Tl2 Re1 Te1'
_space_group_name_H-M_alt 'P 1'
_space_group_IT_number 1
_cell_length_a 3.3882
_cell_length_b 5.0005
_cell_length_c 5.7921
_cell_angle_alpha 90.00
_cell_angle_beta 90.00
_cell_angle_gamma 90.00
loop_
_space_group_symop_operation_xyz
'x,y,z'
loop_
_atom_site_label
_atom_site_type_symbol
_atom_site_fract_x
_atom_site_fract_y
_atom_site_fract_z
Re1 Re 0.5000 0.0000 0.5000
Tl1 Tl 0.5000 0.5000 0.0000
Te1 Te 0.0000 0.5000 0.5000
Tl2 Tl 0.0000 0.0000 0.0000
# Spin magnetization in μB per atom: 0.549
# Space group: Pmmm
# Uncorrected formation energy in eV per atom: 0.9863
# Energy above the most stable polymorph in this dataset in meV/atom: 579
# Raw total energy in eV/atom: -4.09

***

Record 7
# HfTiNi | Alexandria | PBE | relaxed
data_HfTiNi
_chemical_formula_sum 'Hf6 Ti6 Ni6'
_space_group_name_H-M_alt 'P 1'
_space_group_IT_number 1
_cell_length_a 3.9984
_cell_length_b 6.1853
_cell_length_c 12.2401
_cell_angle_alpha 90.00
_cell_angle_beta 90.00
_cell_angle_gamma 90.00
loop_
_space_group_symop_operation_xyz
'x,y,z'
loop_
_atom_site_label
_atom_site_type_symbol
_atom_site_fract_x
_atom_site_fract_y
_atom_site_fract_z
Ti1 Ti 0.5000 0.2202 0.7500
Ni1 Ni 0.5000 0.9614 0.9038
Ti2 Ti 0.5000 0.5894 0.6115
Hf1 Hf 0.0000 0.7613 0.0499
Ni2 Ni 0.0000 0.4521 0.7500
Ni3 Ni 0.5000 0.0386 0.4038
Hf2 Hf 0.0000 0.8599 0.7500
Hf3 Hf 0.0000 0.2387 0.5499
Ti3 Ti 0.5000 0.5894 0.8885
Ni4 Ni 0.5000 0.9614 0.5962
Hf4 Hf 0.0000 0.1401 0.2500
Ni5 Ni 0.0000 0.5479 0.2500
Ti4 Ti 0.5000 0.7798 0.2500
Ti5 Ti 0.5000 0.4106 0.1115
Hf5 Hf 0.0000 0.7613 0.4501
Ni6 Ni 0.5000 0.0386 0.0962
Hf6 Hf 0.0000 0.2387 0.9501
Ti6 Ti 0.5000 0.4106 0.3885
# Spin magnetization in μB per atom: 0.000
# Space group: Pmma
# Energy relative to the elements in meV/atom: -282.9
# Energy above the most stable polymorph in this dataset in meV/atom: 0
# Raw total energy in eV/atom: -8.16

***

Record 8
# Na6Ge2Au | Alexandria | PBE | relaxed
data_Na6Ge2Au
_chemical_formula_sum 'Na6 Ge2 Au1'
_space_group_name_H-M_alt 'P 1'
_space_group_IT_number 1
_cell_length_a 5.2409
_cell_length_b 5.2409
_cell_length_c 10.0938
_cell_angle_alpha 74.95
_cell_angle_beta 74.95
_cell_angle_gamma 60.00
loop_
_space_group_symop_operation_xyz
'x,y,z'
loop_
_atom_site_label
_atom_site_type_symbol
_atom_site_fract_x
_atom_site_fract_y
_atom_site_fract_z
Na1 Na 0.8086 0.8086 0.5741
Na2 Na 0.6988 0.6988 0.9035
Na3 Na 0.1914 0.1914 0.4259
Na4 Na 0.5778 0.5778 0.2665
Ge1 Ge 0.9134 0.9134 0.2598
Na5 Na 0.4222 0.4222 0.7335
Ge2 Ge 0.0866 0.0866 0.7402
Au1 Au 0.0000 0.0000 0.0000
Na6 Na 0.3012 0.3012 0.0965
# Spin magnetization in μB per atom: 0.000
# Space group: R-3m
# Energy relative to the elements in meV/atom: -172.6
# Raw total energy in eV/atom: -2.44

***

Record 9
# Ta2MoPt | Alexandria | PBE | relaxed
data_Ta2MoPt
_chemical_formula_sum 'Ta2 Mo1 Pt1'
_space_group_name_H-M_alt 'P 1'
_space_group_IT_number 1
_cell_length_a 2.7911
_cell_length_b 2.7911
_cell_length_c 8.8622
_cell_angle_alpha 90.00
_cell_angle_beta 90.00
_cell_angle_gamma 102.02
loop_
_space_group_symop_operation_xyz
'x,y,z'
loop_
_atom_site_label
_atom_site_type_symbol
_atom_site_fract_x
_atom_site_fract_y
_atom_site_fract_z
Mo1 Mo 0.0000 0.0000 0.5103
Pt1 Pt 0.5000 0.5000 0.7463
Ta1 Ta 0.5000 0.5000 0.2537
Ta2 Ta 0.0000 0.0000 0.9897
# Spin magnetization in μB per atom: 0.000
# Space group: Cmm2
# Energy relative to the elements in meV/atom: -209.7
# Raw total energy in eV/atom: -10.35

***

Record 10
# LaRh2CO | Alexandria | PBE | relaxed
data_LaRh2CO
_chemical_formula_sum 'La1 Rh2 C1 O1'
_space_group_name_H-M_alt 'P 1'
_space_group_IT_number 1
_cell_length_a 4.0198
_cell_length_b 4.9452
_cell_length_c 4.0198
_cell_angle_alpha 90.00
_cell_angle_beta 90.00
_cell_angle_gamma 90.00
loop_
_space_group_symop_operation_xyz
'x,y,z'
loop_
_atom_site_label
_atom_site_type_symbol
_atom_site_fract_x
_atom_site_fract_y
_atom_site_fract_z
Rh1 Rh 0.5000 0.0000 0.0000
C1 C 0.5000 0.5000 0.5000
Rh2 Rh 0.0000 0.0000 0.5000
La1 La 0.0000 0.5000 0.0000
O1 O 0.0000 0.0000 0.0000
# Spin magnetization in μB per atom: 0.175
# Space group: P4/mmm
# Uncorrected formation energy in eV per atom: 0.2077
# Raw total energy in eV/atom: -6.55

***

Record 11
# YTc2Br | Alexandria | PBE | relaxed
data_YTc2Br
_chemical_formula_sum 'Y1 Tc2 Br1'
_space_group_name_H-M_alt 'P 1'
_space_group_IT_number 1
_cell_length_a 5.2444
_cell_length_b 3.2494
_cell_length_c 4.5512
_cell_angle_alpha 90.64
_cell_angle_beta 90.00
_cell_angle_gamma 90.00
loop_
_space_group_symop_operation_xyz
'x,y,z'
loop_
_atom_site_label
_atom_site_type_symbol
_atom_site_fract_x
_atom_site_fract_y
_atom_site_fract_z
Tc1 Tc 0.0000 0.5855 0.4929
Y1 Y 0.5000 0.2500 0.2500
Br1 Br 0.5000 0.7500 0.7500
Tc2 Tc 0.0000 0.9145 0.0071
# Spin magnetization in μB per atom: 0.000
# Space group: P2/m
# Uncorrected formation energy in eV per atom: 0.2988
# Energy above the most stable polymorph in this dataset in meV/atom: 421
# Raw total energy in eV/atom: -6.92

***

Record 12
# BaSn8Pt2 | Alexandria | PBE | relaxed
data_BaSn8Pt2
_chemical_formula_sum 'Ba1 Sn8 Pt2'
_space_group_name_H-M_alt 'P 1'
_space_group_IT_number 1
_cell_length_a 6.4641
_cell_length_b 6.4641
_cell_length_c 8.9149
_cell_angle_alpha 90.00
_cell_angle_beta 90.00
_cell_angle_gamma 90.00
loop_
_space_group_symop_operation_xyz
'x,y,z'
loop_
_atom_site_label
_atom_site_type_symbol
_atom_site_fract_x
_atom_site_fract_y
_atom_site_fract_z
Sn1 Sn 0.2466 0.7534 0.8171
Sn2 Sn 0.2466 0.2466 0.8171
Sn3 Sn 0.7534 0.7534 0.8171
Pt1 Pt 0.0000 0.5000 0.0000
Sn4 Sn 0.2466 0.2466 0.1829
Pt2 Pt 0.5000 0.0000 0.0000
Sn5 Sn 0.7534 0.7534 0.1829
Sn6 Sn 0.2466 0.7534 0.1829
Ba1 Ba 0.5000 0.5000 0.5000
Sn7 Sn 0.7534 0.2466 0.1829
Sn8 Sn 0.7534 0.2466 0.8171
# Spin magnetization in μB per atom: 0.000
# Space group: P4/mmm
# Energy relative to the elements in meV/atom: -259.1
# Energy above the most stable polymorph in this dataset in meV/atom: 27
# Raw total energy in eV/atom: -4.44

***

Question: Number 5 is which compound?
Answer: Ac3V5S12

***

Question: Which formula does entry 1 have?
Answer: KNF2